# 1
Sc3AlHg: optimized geometry, GGA-PBEsol.

```
Sc3AlHg
1.0
5.1662 0.0000 0.0000
0.0000 5.1662 0.0000
0.0000 0.0000 5.1662
Hg Al Sc
1 1 3
direct
0.0000 0.0000 0.0000
0.5000 0.5000 0.5000
0.0000 0.0000 0.5000
0.0000 0.5000 0.0000
0.5000 0.0000 0.0000
```

Magnetic moment: 0.000 μB/atom
Symmetry: Pm-3m, No. 221
Energy of formation from the pure elements: 1.8 eV per formula unit

# 2
SiHPt3: optimized geometry, GGA-PBEsol.

```
SiHPt3
1.0
4.4531 0.0000 0.0000
0.0000 4.4531 0.0000
0.0000 0.0000 4.4531
Si Pt H
1 3 1
direct
0.0000 0.0000 0.0000
0.0000 0.0000 0.5000
0.5000 0.0000 0.0000
0.0000 0.5000 0.0000
0.5000 0.5000 0.5000
```

Magnetic moment: 0.150 μB/atom
Symmetry: Pm-3m, No. 221

# 3
LiZnPt2: optimized geometry, GGA-PBEsol.

```
LiZnPt2
1.0
-2.4420 0.0831 -1.3506
-0.9076 -3.0134 1.4556
-2.2722 2.7506 4.2776
Pt Zn Li
2 1 1
direct
0.0000 0.0000 0.7463
0.0000 0.0000 0.2537
0.5000 0.5000 0.0000
0.5000 0.5000 0.5000
```

Magnetic moment: 0.000 μB/atom
Symmetry: Pmmm, No. 47
Energy of formation from the pure elements: -2.1 eV per formula unit

# 4
NaZrIn2W: optimized geometry, GGA-PBEsol.

```
NaZrIn2W
1.0
-0.8465 -0.2041 4.8113
-0.3997 -5.3310 -0.2964
5.2582 -0.4446 0.9062
In Na Zr W
2 1 1 1
direct
0.0000 0.5000 0.0000
0.0000 0.0000 0.5000
0.5000 0.5000 0.5000
0.5000 0.0000 0.0000
0.0000 0.0000 0.0000
```

Magnetic moment: 0.000 μB/atom
Symmetry: P4/mmm, No. 123
Energy of formation from the pure elements: 2.9 eV per formula unit

# 5
Ba3Re2O9: optimized geometry, GGA-PBEsol.

```
Ba3Re2O9
1.0
5.6920 0.0000 0.0000
2.8460 4.9294 0.0000
2.8460 1.6431 6.9115
Ba O Re
3 9 2
direct
0.7894 0.7894 0.6318
0.0000 0.0000 0.0000
0.2106 0.2106 0.3682
0.7564 0.2790 0.6856
0.5000 0.5000 0.0000
0.7210 0.2436 0.3144
0.2436 0.7210 0.3144
0.2790 0.2790 0.6856
0.5000 0.0000 0.0000
0.0000 0.5000 0.0000
0.2790 0.7564 0.6856
0.7210 0.7210 0.3144
0.3914 0.3914 0.8259
0.6086 0.6086 0.1741
```

Magnetic moment: 0.000 μB/atom
Symmetry: R-3m, No. 166
E_form (uncorrected): -2.28 eV per atom

# 6
YBeAl2: optimized geometry, GGA-PBEsol.

```
YBeAl2
1.0
-0.9263 3.3043 2.4414
-3.8373 -1.5898 0.6957
3.7752 -2.8242 1.6223
Be Y Al
1 1 2
direct
0.5000 0.5000 0.0000
0.2500 0.7500 0.5000
0.7500 0.2500 0.5000
0.0000 0.0000 0.0000
```

Magnetic moment: 0.000 μB/atom
Symmetry: I-4m2, No. 119
Energy of formation from the pure elements: -0.1 eV per formula unit

Computed values of final energy (unit: eV per cell) for the preceding records, in sequence: -22.65, -25.07, -19.57, -27.41, -112.24, -19.09.